Record 1
An optimized crystal structure of BaAsF5, computed with PBE.

a = 10.1546 Å, b = 7.2230 Å, c = 8.5787 Å
α = 90.00°, β = 115.85°, γ = 90.00°
With the nearest neighbours (Å) after each atom.
Space group C2/c (No. 15)
Unique sites:
1 Ba 0.0000 0.0444 0.2500 (multiplicity 4)  7 F 2.59-2.84
2 As 0.0000 0.5000 0.0000 (multiplicity 4)  6 F 1.99-2.19
3 F 0.0000 0.4375 0.2500 (multiplicity 4)  2 As 2.19
4 F 0.0100 0.2147 0.9749 (multiplicity 8)  1 As 2.08
5 F 0.2177 0.4832 0.6127 (multiplicity 8)  1 As 1.99

Values from the calculation:
As for the uncorrected formation energy: -2812 meV per atom. The volume comes out at 20.2 Å³ per atom. The total magnetic moment is 0.000 μB/cell. The calculation puts the final energy at -142.46 eV per cell.

Record 2
An optimized crystal structure of Zr2ScSe, computed with PBE.

a = 3.4227 Å, b = 3.4227 Å, c = 26.7606 Å
α = 90.00°, β = 90.00°, γ = 120.00°
With the nearest neighbours (Å) after each atom.
Space group R-3m (No. 166, hexagonal axes)
Unique sites:
1 Zr 0.0000 0.0000 0.2389 (multiplicity 6)  3 Se 2.76
2 Sc 0.0000 0.0000 0.0000 (multiplicity 3)  6 Zr 3.21, 6 Sc 3.42
3 Se 0.0000 0.0000 0.5000 (multiplicity 3)  6 Zr 2.76

Values from the calculation:
As for the uncorrected formation energy: -505 meV per atom. The volume comes out at 22.6 Å³ per atom. The total magnetic moment is 0.005 μB/cell. The calculation puts the final energy at -86.80 eV per cell.

Record 3
An optimized crystal structure of Cd2Cu2Ni, computed with PBE.

a = 6.2609 Å, b = 6.2609 Å, c = 4.0472 Å
α = 90.00°, β = 90.00°, γ = 90.00°
With the nearest neighbours (Å) after each atom.
Space group P4/mbm (No. 127)
Unique sites:
1 Cd 0.1744 0.3256 0.0000 (multiplicity 4)  6 Cu 2.64-2.81
2 Cu 0.1347 0.6347 0.5000 (multiplicity 4)  1 Cu 2.38, 2 Ni 2.44, 2 Cd 2.64
3 Ni 0.0000 0.0000 0.5000 (multiplicity 2)  4 Cu 2.44

Values from the calculation:
For the calculated formation energy, the calculation gives 79 kJ/mol of formula units. The volume comes out at 15.9 Å³ per atom. The total magnetic moment is 0.000 μB/cell. The calculation puts the final energy at -29.97 eV per cell.

Record 4
An optimized crystal structure of SrLaSe2, computed with PBE.

a = 4.5213 Å, b = 4.1237 Å, c = 12.6145 Å
α = 90.00°, β = 90.00°, γ = 90.00°
With the nearest neighbours (Å) after each atom.
Space group Amm2 (No. 38)
Unique sites:
1 Sr 0.0000 0.0000 0.0000 (multiplicity 2)  5 Se 3.06-3.07
2 La 0.5000 0.0000 0.2659 (multiplicity 2)  5 Se 3.06-3.08
3 Se 0.0000 0.0000 0.7568 (multiplicity 2)  4 La 3.06, 1 Sr 3.07
4 Se 0.5000 0.0000 0.5103 (multiplicity 2)  4 Sr 3.06, 1 La 3.08

Values from the calculation:
As for the uncorrected formation energy: -1806 meV per atom. The energy relative to the lowest polymorph listed for this composition is 75 kJ/mol of formula units. The volume comes out at 29.4 Å³ per atom. The total magnetic moment is 0.000 μB/cell. The calculation puts the final energy at -41.61 eV per cell.

Record 5
An optimized crystal structure of LiSbPb2, computed with PBE.

a = 8.5047 Å, b = 8.5047 Å, c = 6.4303 Å
α = 90.00°, β = 90.00°, γ = 90.00°
With the nearest neighbours (Å) after each atom.
Space group I-42d (No. 122)
Unique sites:
1 Li 0.0000 0.0000 0.0000 (multiplicity 4)  4 Pb 3.13, 2 Sb 3.22
2 Sb 0.0000 0.0000 0.5000 (multiplicity 4)  4 Pb 3.09, 2 Li 3.22
3 Pb 0.2463 0.2500 0.6250 (multiplicity 8)  2 Sb 3.09, 2 Li 3.13, 2 Pb 3.22

Values from the calculation:
As for the uncorrected formation energy: -46 meV per atom. The volume comes out at 29.1 Å³ per atom. The total magnetic moment is 0.000 μB/cell. The calculation puts the final energy at -54.55 eV per cell.

Record 6
An optimized crystal structure of UVP3, computed with PBE.

a = 11.5664 Å, b = 5.3312 Å, c = 5.3472 Å
α = 90.00°, β = 90.00°, γ = 90.00°
With the nearest neighbours (Å) after each atom.
Space group Pbcm (No. 57)
Unique sites:
1 U 0.1860 0.0051 0.2500 (multiplicity 4)  9 P 2.77-2.87
2 V 0.4204 0.7500 0.0000 (multiplicity 4)  6 P 2.38-2.51
3 P 0.0011 0.7500 0.0000 (multiplicity 4)  4 P 2.67, 4 U 2.86-2.87
4 P 0.2763 0.5036 0.2500 (multiplicity 4)  2 V 2.51, 1 P 2.64
5 P 0.4197 0.1191 0.2500 (multiplicity 4)  4 V 2.38-2.39, 1 P 2.64

Values from the calculation:
For the calculated formation energy, the calculation gives -341 kJ/mol of formula units. The volume comes out at 16.5 Å³ per atom. The total magnetic moment is 8.390 μB/cell. The calculation puts the final energy at -160.69 eV per cell.

Q: What is the total magnetic moment in the second record?
A: 0.005 μB/cell

Q: Look up the total magnetic moment of the sixth one.
A: 8.390 μB/cell